Na12Au3F5: relaxed, PBE-GGA.

Cell lengths 13.267, 13.267, 13.267 Å; angles 109.47, 109.47, 109.47 degrees
Element x y z (fractional)
Na (0.318, 0.801, 0.416)
Na (0.517, 0.318, 0.902)
F (0.500, 0.500, 0.500)
Na (0.885, 0.584, 0.902)
F (0.875, 0.625, 0.750)
Na (0.916, 0.818, 0.801)
Na (0.584, 0.885, 0.402)
Na (0.017, 0.615, 0.699)
Na (0.885, 0.301, 0.483)
Na (0.584, 0.699, 0.682)
Na (0.199, 0.682, 0.084)
Na (0.818, 0.916, 0.301)
Au (0.875, 0.750, 0.125)
F (0.750, 0.625, 0.375)
Na (0.615, 0.017, 0.199)
F (0.875, 0.250, 0.625)
F (0.000, 0.500, 0.500)
Au (0.625, 0.375, 0.750)
Au (0.125, 0.250, 0.875)
Na (0.483, 0.801, 0.885)
Na (0.318, 0.517, 0.402)
Na (0.902, 0.084, 0.885)
Na (0.699, 0.584, 0.182)
Na (0.017, 0.402, 0.818)
Na (0.801, 0.318, 0.916)
F (0.500, 0.000, 0.000)
F (0.000, 0.000, 0.500)
F (0.625, 0.750, 0.875)
F (0.750, 0.125, 0.875)
Na (0.301, 0.416, 0.818)
Na (0.182, 0.084, 0.699)
Na (0.598, 0.615, 0.416)
F (0.000, 0.500, 0.000)
Na (0.818, 0.902, 0.017)
Na (0.416, 0.115, 0.598)
Au (0.875, 0.125, 0.250)
Na (0.402, 0.385, 0.584)
Na (0.084, 0.902, 0.385)
Na (0.682, 0.199, 0.584)
Au (0.125, 0.875, 0.750)
Na (0.682, 0.483, 0.598)
Na (0.098, 0.916, 0.115)
Na (0.517, 0.199, 0.115)
Na (0.416, 0.301, 0.318)
F (0.625, 0.875, 0.250)
Au (0.750, 0.375, 0.125)
Au (0.375, 0.750, 0.625)
F (0.250, 0.875, 0.125)
Na (0.199, 0.517, 0.615)
F (0.125, 0.375, 0.250)
F (0.375, 0.125, 0.750)
Na (0.182, 0.098, 0.983)
Au (0.250, 0.125, 0.375)
Na (0.916, 0.098, 0.615)
Au (0.625, 0.250, 0.375)
Na (0.983, 0.598, 0.182)
Na (0.801, 0.483, 0.385)
Na (0.115, 0.416, 0.098)
Na (0.115, 0.699, 0.517)
F (0.375, 0.250, 0.125)
Na (0.098, 0.182, 0.483)
Au (0.375, 0.625, 0.250)
Na (0.598, 0.983, 0.682)
F (0.000, 0.000, 0.000)
Na (0.615, 0.598, 0.916)
Na (0.983, 0.385, 0.301)
Na (0.902, 0.818, 0.517)
F (0.125, 0.750, 0.375)
Na (0.483, 0.682, 0.098)
F (0.250, 0.375, 0.625)
Na (0.385, 0.402, 0.084)
Na (0.301, 0.885, 0.983)
Na (0.699, 0.115, 0.017)
Au (0.250, 0.625, 0.875)
F (0.500, 0.500, 0.000)
F (0.500, 0.000, 0.500)
Au (0.750, 0.875, 0.625)
Na (0.385, 0.983, 0.801)
Na (0.402, 0.017, 0.318)
Na (0.084, 0.182, 0.199)

Crystal system = cubic
DFT total energy = -247.34 eV/cell
Space group = Ia-3d
Total moment = 0.00 μB/f.u.